Entry from the Alexandria database: crystalline TbCe2Y3Bi6 at its relaxed geometry (PBE-GGA).

Cell lengths 7.8429, 7.8429, 7.8341 Å; angles 99.61, 99.61, 120.00 degrees
Fractional coordinates of all 12 atoms:
Tb 0.0000 0.0000 0.0000
Ce 0.3337 0.6663 0.0000
Ce 0.6663 0.3337 0.0000
Y 0.1679 0.8321 0.5000
Y 0.8321 0.1679 0.5000
Y 0.5000 0.5000 0.5000
Bi 0.9156 0.5850 0.7464
Bi 0.7547 0.7547 0.2553
Bi 0.0844 0.4150 0.2536
Bi 0.5850 0.9156 0.7464
Bi 0.2453 0.2453 0.7447
Bi 0.4150 0.0844 0.2536

Its formation energy from the elements is -0.861 eV per atom. The theoretical density comes out at 8.27 g/cm³. As for the calculated total energy: -5.7927 eV per atom. As for the symmetry: No. 12.